No. 1
Computed, not measured: a relaxed NiHg2Os crystal at the PBE level of DFT.

Geometry as POSCAR:
```
NiHg2Os
1.0
6.4649 0.0000 0.0000
0.0000 6.4649 0.0000
0.0000 0.0000 6.4649
Ni Hg Os
4 8 4
Cartesian
0.0000 0.0000 0.0000
0.0000 3.2324 3.2324
3.2324 0.0000 3.2324
3.2324 3.2324 0.0000
1.6162 1.6162 1.6162
1.6162 1.6162 4.8487
1.6162 4.8487 1.6162
1.6162 4.8487 4.8487
4.8487 1.6162 1.6162
4.8487 1.6162 4.8487
4.8487 4.8487 1.6162
4.8487 4.8487 4.8487
0.0000 0.0000 3.2324
0.0000 3.2324 0.0000
3.2324 0.0000 0.0000
3.2324 3.2324 3.2324
```

Results
- offset from the most stable computed form (meV/atom) = 333
- DOS at the Fermi energy (states/eV per atom) = 1.2102
- energy of formation from the pure elements (eV/f.u.) = 3.3
- energy (eV for the cell shown) = -57.184

No. 2
Computed, not measured: a relaxed NiHgOs2 crystal at the PBE level of DFT.

Geometry as POSCAR:
```
NiHgOs2
1.0
2.7639 0.0000 0.0000
0.0000 4.4098 0.0000
0.0000 0.0000 9.9908
Ni Hg Os
2 2 4
Cartesian
0.0000 0.0000 0.0000
1.3819 2.2049 4.9954
0.0000 0.0000 4.9954
1.3819 2.2049 0.0000
0.0000 2.2049 2.8457
0.0000 2.2049 7.1451
1.3819 0.0000 2.1497
1.3819 0.0000 7.8411
```

Results
- DOS at the Fermi energy (states/eV per atom) = 0.7977
- energy of formation from the pure elements (eV/f.u.) = 2.2
- energy (eV for the cell shown) = -52.777

No. 3
Computed, not measured: a relaxed NiHg2Os crystal at the PBE level of DFT.

Geometry as POSCAR:
```
NiHg2Os
1.0
10.5569 0.0000 0.0000
0.0000 2.8233 0.0000
-1.8629 0.0000 4.5999
Ni Hg Os
2 4 2
Cartesian
0.0000 0.0000 0.0000
5.2784 1.4116 0.0000
0.9464 0.0000 3.9497
3.9017 0.0000 2.1922
6.2249 1.4116 3.9497
9.1802 1.4116 2.1922
1.4175 1.4116 1.5098
6.6959 0.0000 1.5098
```

Results
- offset from the most stable computed form (meV/atom) = 125
- DOS at the Fermi energy (states/eV per atom) = 0.7141
- energy of formation from the pure elements (eV/f.u.) = 2.5
- energy (eV for the cell shown) = -30.260